Density functional theory data (GGA-PBE) for crystalline TbTh4C4 at its relaxed geometry.

Summary:
- Total moment: 0.00 μB per cell
- Calculated volume: 185.8 Å³ per cell
- N(E_F): 6.064 states/eV per cell
- SG: I4/m

```
9
Lattice="-4.167 4.167 2.675 4.167 -4.167 2.675 4.167 4.167 -2.675" Properties=species:S:1:pos:R:3 pbc="T T T"
Tb 0.000 0.000 0.000
Th 3.295 1.612 0.000
Th 2.554 -0.872 2.675
Th 1.612 5.039 0.000
Th 0.872 2.554 2.675
C 5.804 0.762 0.000
C 0.762 2.529 0.000
C 3.405 1.637 2.675
C -1.637 3.405 2.675
```



Density functional theory data (GGA-PBE) for crystalline TbThC2 at its relaxed geometry.

Summary:
- Total moment: 0.00 μB per cell
- Calculated volume: 71.3 Å³ per cell
- N(E_F): 4.215 states/eV per cell
- SG: R3m

```
4
Lattice="1.833 1.058 6.130 -1.833 1.058 6.130 0.000 -2.116 6.130" Properties=species:S:1:pos:R:3 pbc="T T T"
Tb 0.000 0.000 0.000
Th 0.000 0.000 15.253
C 0.000 0.000 4.454
C 0.000 0.000 7.611
```



Density functional theory data (GGA-PBE) for crystalline Tb5ThC4 at its relaxed geometry.

Summary:
- Total moment: 1.07 μB per cell
- Calculated volume: 213.4 Å³ per cell
- N(E_F): 6.289 states/eV per cell
- SG: C2/m

```
10
Lattice="8.040 -1.827 0.000 8.040 1.827 0.000 -1.642 0.000 7.264" Properties=species:S:1:pos:R:3 pbc="T T T"
Tb 0.000 0.000 0.000
Tb 4.281 0.000 4.679
Tb 5.151 0.000 1.397
Tb 9.288 0.000 5.867
Tb 10.158 0.000 2.585
Th -0.821 0.000 3.632
C 1.754 0.000 4.257
C 7.577 0.000 1.750
C 6.862 0.000 5.514
C 12.684 0.000 3.007
```



Density functional theory data (GGA-PBE) for crystalline TbTh5C4 at its relaxed geometry.

Summary:
- Total moment: 0.00 μB per cell
- Calculated volume: 218.7 Å³ per cell
- N(E_F): 6.096 states/eV per cell
- SG: C2/m

```
10
Lattice="8.067 -1.843 0.000 8.067 1.843 0.000 -1.660 0.000 7.353" Properties=species:S:1:pos:R:3 pbc="T T T"
Tb 0.000 0.000 0.000
Th -0.830 0.000 3.676
Th 5.185 0.000 1.156
Th 4.351 0.000 5.088
Th 10.122 0.000 2.265
Th 9.289 0.000 6.197
C 2.570 0.000 0.599
C 6.775 0.000 5.479
C 7.699 0.000 1.874
C 11.903 0.000 6.753
```



Density functional theory data (GGA-PBE) for crystalline Tb2Th2C3 at its relaxed geometry.

Summary:
- Total moment: 0.00 μB per cell
- Calculated volume: 145.2 Å³ per cell
- N(E_F): 5.098 states/eV per cell
- SG: C2/m

```
7
Lattice="6.250 -1.867 0.000 6.250 1.867 0.000 -1.377 0.000 6.222" Properties=species:S:1:pos:R:3 pbc="T T T"
Tb 1.252 0.000 2.224
Tb 9.872 0.000 3.998
Th 4.545 0.000 0.779
Th 6.579 0.000 5.443
C 0.000 0.000 0.000
C 2.143 0.000 4.733
C 8.981 0.000 1.489
```



Density functional theory data (GGA-PBE) for crystalline TbThC at its relaxed geometry.

Summary:
- Total moment: 0.00 μB per cell
- Calculated volume: 143.1 Å³ per cell
- N(E_F): 5.816 states/eV per cell
- SG: P2_1/m

```
6
Lattice="6.303 0.000 0.000 0.000 3.604 0.000 -1.861 0.000 6.302" Properties=species:S:1:pos:R:3 pbc="T T T"
Tb -0.405 0.901 1.780
Tb 4.847 2.703 4.522
Th 1.716 0.901 4.608
Th 2.725 2.703 1.693
C 0.668 2.703 3.170
C 3.774 0.901 3.132
```



Density functional theory data (GGA-PBE) for crystalline Tb3ThC2 at its relaxed geometry.

Summary:
- Total moment: 2.11 μB per cell
- Calculated volume: 284.6 Å³ per cell
- N(E_F): 10.371 states/eV per cell
- SG: R-3m

```
12
Lattice="3.623 2.092 6.260 -3.623 2.092 6.260 0.000 -4.183 6.260" Properties=species:S:1:pos:R:3 pbc="T T T"
Tb -1.794 -1.036 10.768
Tb 0.000 -2.072 8.012
Tb -1.794 1.036 8.012
Tb 1.794 -1.036 10.768
Tb 0.000 2.072 10.768
Tb 1.794 1.036 8.012
Th 0.000 0.000 4.519
Th 0.000 0.000 14.261
C -3.623 0.000 9.390
C -1.811 1.046 3.130
C 1.811 1.046 3.130
C 0.000 0.000 9.390
```



Density functional theory data (GGA-PBE) for crystalline TbTh8C6 at its relaxed geometry.

Summary:
- Total moment: 0.00 μB per cell
- Calculated volume: 335.8 Å³ per cell
- N(E_F): 13.510 states/eV per cell
- SG: R-3

```
15
Lattice="3.202 1.849 9.457 -3.202 1.849 9.457 0.000 -3.697 9.457" Properties=species:S:1:pos:R:3 pbc="T T T"
Tb 0.000 0.000 0.000
Th -1.061 -1.861 12.398
Th -2.142 -0.011 15.972
Th 0.000 0.000 9.457
Th -1.081 1.849 12.398
Th 1.081 -1.849 15.972
Th 0.000 0.000 18.913
Th 2.142 0.011 12.398
Th 1.061 1.861 15.972
C -2.138 0.007 11.091
C -1.075 -1.848 17.279
C 1.063 -1.855 11.091
C -1.063 1.855 17.279
C 1.075 1.848 11.091
C 2.138 -0.007 17.279
```



Density functional theory data (GGA-PBE) for crystalline TbThC4 at its relaxed geometry.

Summary:
- Total moment: 0.00 μB per cell
- Calculated volume: 89.3 Å³ per cell
- N(E_F): 3.184 states/eV per cell
- SG: P2/m

```
6
Lattice="3.752 0.000 0.000 0.000 3.753 0.000 -0.144 0.000 6.338" Properties=species:S:1:pos:R:3 pbc="T T T"
Tb 0.000 0.000 0.000
Th 1.804 1.877 3.169
C -0.047 0.000 2.503
C 1.850 1.877 0.650
C 1.758 1.877 5.688
C 3.655 0.000 3.836
```



Density functional theory data (GGA-PBE) for crystalline Tb3Th2C3 at its relaxed geometry.

Summary:
- Total moment: 0.00 μB per cell
- Calculated volume: 360.7 Å³ per cell
- N(E_F): 11.310 states/eV per cell
- SG: Cm

```
16
Lattice="5.853 -2.597 0.000 5.853 2.597 0.000 -0.319 0.000 11.866" Properties=species:S:1:pos:R:3 pbc="T T T"
Tb 0.000 0.000 0.000
Tb -0.168 0.000 8.803
Tb 2.327 0.000 4.451
Tb 6.968 0.000 6.505
Tb 7.745 0.000 10.357
Tb 10.449 0.000 2.888
Th 3.122 0.000 8.250
Th 3.351 0.000 0.643
Th 7.093 0.000 2.268
Th 10.293 0.000 5.988
C 1.224 0.000 2.095
C 1.118 0.000 6.638
C 1.734 0.000 10.369
C 8.429 0.000 4.403
C 9.194 0.000 0.808
C 9.005 0.000 8.107
```



Density functional theory data (GGA-PBE) for crystalline TbThTlC at its relaxed geometry.

Summary:
- Total moment: 0.00 μB per cell
- Calculated volume: 97.1 Å³ per cell
- N(E_F): 3.199 states/eV per cell
- SG: R3m

```
4
Lattice="1.830 1.056 8.375 -1.830 1.056 8.375 0.000 -2.113 8.375" Properties=species:S:1:pos:R:3 pbc="T T T"
Tb 0.000 0.000 0.000
Th 0.000 0.000 19.539
Tl 0.000 0.000 5.688
C 0.000 0.000 9.773
```



Density functional theory data (GGA-PBE) for crystalline TbTh2UC4 at its relaxed geometry.

Summary:
- Total moment: 0.00 μB per cell
- Calculated volume: 139.4 Å³ per cell
- N(E_F): 5.631 states/eV per cell
- SG: P2/m

```
8
Lattice="6.297 0.000 0.000 0.000 3.686 0.000 -2.106 0.000 6.006" Properties=species:S:1:pos:R:3 pbc="T T T"
Tb 0.000 0.000 0.000
Th -1.053 1.843 3.003
Th 2.096 0.000 3.003
U 3.149 1.843 0.000
C 1.215 1.843 1.386
C 0.100 0.000 4.667
C 4.091 0.000 1.339
C 2.976 1.843 4.620
```



Density functional theory data (GGA-PBE) for crystalline TbTh2WC4 at its relaxed geometry.

Summary:
- Total moment: 0.00 μB per cell
- Calculated volume: 284.9 Å³ per cell
- N(E_F): 6.620 states/eV per cell
- SG: Cmcm

```
16
Lattice="1.801 -6.091 0.000 1.801 6.091 0.000 0.000 0.000 12.984" Properties=species:S:1:pos:R:3 pbc="T T T"
Tb 1.801 4.731 9.738
Tb 1.801 -4.731 3.246
Th 1.801 1.630 6.972
Th 1.801 1.630 12.503
Th 1.801 -1.630 0.481
Th 1.801 -1.630 6.011
W 1.801 4.123 3.246
W 1.801 -4.123 9.738
C 0.000 0.000 0.000
C 0.000 0.000 6.492
C 1.801 2.848 1.766
C 1.801 2.848 4.726
C 1.801 0.907 9.738
C 1.801 -0.907 3.246
C 1.801 -2.848 8.258
C 1.801 -2.848 11.218
```



Density functional theory data (GGA-PBE) for crystalline TbTh2ZnC at its relaxed geometry.

Summary:
- Total moment: 0.00 μB per cell
- Calculated volume: 124.9 Å³ per cell
- N(E_F): 3.681 states/eV per cell
- SG: P4/mmm

```
5
Lattice="5.038 0.000 0.000 0.000 5.038 0.000 0.000 0.000 4.922" Properties=species:S:1:pos:R:3 pbc="T T T"
Tb 0.000 0.000 0.000
Th 0.000 2.519 2.461
Th 2.519 0.000 2.461
Zn 2.519 2.519 0.000
C 0.000 0.000 2.461
```



Density functional theory data (GGA-PBE) for crystalline Tb2TiC at its relaxed geometry.

Summary:
- Total moment: 2.18 μB per cell
- Calculated volume: 93.7 Å³ per cell
- N(E_F): 4.376 states/eV per cell
- SG: R-3m

```
4
Lattice="1.733 1.000 9.014 -1.733 1.000 9.014 0.000 -2.001 9.014" Properties=species:S:1:pos:R:3 pbc="T T T"
Tb 0.000 0.000 3.126
Tb 0.000 0.000 23.915
Ti 0.000 0.000 0.000
C 0.000 0.000 13.520
```



Density functional theory data (GGA-PBE) for crystalline TbTiC2 at its relaxed geometry.

Summary:
- Total moment: 0.00 μB per cell
- Calculated volume: 52.5 Å³ per cell
- N(E_F): 2.417 states/eV per cell
- SG: R-3m

```
4
Lattice="1.656 0.956 5.520 -1.656 0.956 5.520 0.000 -1.913 5.520" Properties=species:S:1:pos:R:3 pbc="T T T"
Tb 0.000 0.000 0.000
Ti 0.000 0.000 8.280
C 0.000 0.000 3.919
C 0.000 0.000 12.641
```



Density functional theory data (GGA-PBE) for crystalline TbTi2C at its relaxed geometry.

Summary:
- Total moment: 0.00 μB per cell
- Calculated volume: 71.8 Å³ per cell
- N(E_F): 4.568 states/eV per cell
- SG: R-3m

```
4
Lattice="1.567 0.905 8.439 -1.567 0.905 8.439 0.000 -1.809 8.439" Properties=species:S:1:pos:R:3 pbc="T T T"
Tb 0.000 0.000 0.000
Ti 0.000 0.000 3.108
Ti 0.000 0.000 22.208
C 0.000 0.000 12.658
```



Density functional theory data (GGA-PBE) for crystalline Tb3TlC at its relaxed geometry.

Summary:
- Total moment: 0.00 μB per cell
- Calculated volume: 179.6 Å³ per cell
- N(E_F): 1.597 states/eV per cell
- SG: Pm-3m

```
5
Lattice="5.642 0.000 0.000 0.000 5.642 0.000 0.000 0.000 5.642" Properties=species:S:1:pos:R:3 pbc="T T T"
Tb 0.000 0.000 2.821
Tb 0.000 2.821 0.000
Tb 2.821 0.000 0.000
Tl 0.000 0.000 0.000
C 2.821 2.821 2.821
```



Density functional theory data (GGA-PBE) for crystalline Tb12Tl3C5 at its relaxed geometry.

Summary:
- Total moment: 0.00 μB per cell
- Calculated volume: 2050.1 Å³ per cell
- N(E_F): 47.460 states/eV per cell
- SG: Ia-3d

```
80
Lattice="-8.003 8.003 8.003 8.003 -8.003 8.003 8.003 8.003 -8.003" Properties=species:S:1:pos:R:3 pbc="T T T"
Tb 2.374 -0.551 0.830
Tb 9.630 4.831 -4.553
Tb 10.377 0.551 0.830
Tb 9.630 -3.172 4.553
Tb 7.452 -0.830 2.374
Tb 12.555 -1.627 3.172
Tb 0.830 2.374 -0.551
Tb 11.174 3.450 -1.627
Tb 4.831 4.553 -1.627
Tb 7.173 2.374 0.551
Tb -0.551 0.830 2.374
Tb 4.553 -1.627 4.831
Tb 7.452 7.173 -2.374
Tb 4.553 1.627 3.172
Tb 4.831 -4.553 9.630
Tb 7.173 -2.374 7.452
Tb 3.172 4.553 1.627
Tb 8.833 5.629 0.551
Tb 4.553 9.630 -3.172
Tb 7.452 0.830 5.629
Tb 2.374 7.452 -0.830
Tb 9.630 3.172 3.450
Tb 1.627 3.172 4.553
Tb 2.374 0.551 7.173
Tb 5.629 7.452 0.830
Tb 6.376 4.831 3.450
Tb -1.627 4.831 4.553
Tb 5.629 0.551 8.833
Tb 0.551 7.173 2.374
Tb 3.450 -1.627 11.174
Tb -0.830 2.374 7.452
Tb 4.831 3.450 6.376
Tb 0.830 10.377 0.551
Tb 3.172 12.555 -1.627
Tb 3.450 6.376 4.831
Tb 0.551 0.830 10.377
Tb 3.450 9.630 3.172
Tb 8.554 7.173 5.629
Tb 0.830 5.629 7.452
Tb 3.172 3.450 9.630
Tb -3.172 4.553 9.630
Tb 7.173 5.629 8.554
Tb -4.553 9.630 4.831
Tb 0.551 8.833 5.629
Tb -1.627 11.174 3.450
Tb -2.374 7.452 7.173
Tb -1.627 3.172 12.555
Tb 5.629 8.554 7.173
Tl 4.001 2.001 0.000
Tl 8.003 4.001 -2.001
Tl 2.001 0.000 4.001
Tl 10.003 0.000 4.001
Tl 0.000 4.001 2.001
Tl 4.001 -2.001 8.003
Tl 4.001 10.003 0.000
Tl 8.003 4.001 6.002
Tl -2.001 8.003 4.001
Tl 6.002 8.003 4.001
Tl 0.000 4.001 10.003
Tl 4.001 6.002 8.003
C 0.000 0.000 0.000
C 4.001 4.001 -4.001
C 4.001 -4.001 4.001
C 8.003 0.000 0.000
C 12.004 2.001 0.000
C 8.003 -4.001 6.002
C 6.002 8.003 -4.001
C 6.002 0.000 4.001
C 4.001 6.002 0.000
C 8.003 4.001 2.001
C -4.001 4.001 4.001
C 0.000 8.003 0.000
C 0.000 0.000 8.003
C 4.001 4.001 4.001
C 0.000 4.001 6.002
C 4.001 2.001 8.003
C 2.001 8.003 4.001
C 2.001 0.000 12.004
C 0.000 12.004 2.001
C -4.001 6.002 8.003
```



Density functional theory data (GGA-PBE) for crystalline Tb4TlC at its relaxed geometry.

Summary:
- Total moment: 0.00 μB per cell
- Calculated volume: 310.6 Å³ per cell
- N(E_F): 12.898 states/eV per cell
- SG: C2/c

```
12
Lattice="7.601 -3.067 0.000 7.601 3.067 0.000 -1.969 0.000 6.662" Properties=species:S:1:pos:R:3 pbc="T T T"
Tb 0.668 0.531 2.969
Tb -0.316 -0.531 6.300
Tb 3.044 0.422 5.582
Tb 4.028 -0.422 2.251
Tb 9.204 0.422 4.412
Tb 10.189 -0.422 1.081
Tb 13.549 0.531 0.362
Tb 12.564 -0.531 3.694
Tl 7.109 0.585 1.666
Tl 6.124 -0.585 4.997
C 2.816 1.533 3.331
C 3.800 -1.533 0.000
```



Across the entries above, E_form takes the values -0.264 0.051 -0.214 -0.262 -0.270 -0.233 -0.244 -0.260 -0.184 -0.122 -0.332 -0.219 -0.030 -0.166 0.248 -0.247 -0.237 1.608 -0.130 -0.196 eV per atom, respectively.